[1]
VASP calculation (GGA-PBE) on a relaxed structure of TbNdCuSi.

It has space group F-43m (No. 216), with a = 7.123 Å, b = 7.123 Å, c = 7.123 Å, α = 90.00°, β = 90.00° and γ = 90.00°. The asymmetric unit holds Tb at (0.000, 0.000, 0.000), Nd at (0.000, 0.000, 0.500), Cu at (0.250, 0.250, 0.250) and Si at (0.250, 0.250, 0.750).

The final energy is -81.92 eV/cell. The total moment is 0.000 μB per atom.

---

[2]
VASP calculation (GGA-PBE) on a relaxed structure of TbNdCu2Si2.

It has space group P-3m1 (No. 164), with a = 4.1949 Å, b = 4.1949 Å, c = 7.6951 Å, α = 90.00°, β = 90.00° and γ = 120.00°. The asymmetric unit holds Tb at (0.0000, 0.0000, 0.0000), Nd at (0.0000, 0.0000, 0.5000), Cu at (0.3333, 0.6667, 0.2374) and Si at (0.3333, 0.6667, 0.7591).

The final energy is -32.31 eV/cell. The total moment is 0.000 μB per atom.

---

[3]
VASP calculation (GGA-PBE) on a relaxed structure of NdThCu2Si2.

It has space group P-3m1 (No. 164), with a = 4.1594 Å, b = 4.1594 Å, c = 8.1564 Å, α = 90.00°, β = 90.00° and γ = 120.00°. The asymmetric unit holds Nd at (0.0000, 0.0000, 0.0000), Th at (0.0000, 0.0000, 0.5000), Cu at (0.3333, 0.6667, 0.7446) and Si at (0.3333, 0.6667, 0.2516).

The final energy is -35.04 eV/cell. The total moment is 0.000 μB per atom.

---

[4]
VASP calculation (GGA-PBE) on a relaxed structure of NdTmCu2Si2.

It has space group P-3m1 (No. 164), with a = 4.1804 Å, b = 4.1804 Å, c = 7.5535 Å, α = 90.00°, β = 90.00° and γ = 120.00°. The asymmetric unit holds Nd at (0.0000, 0.0000, 0.0000), Tm at (0.0000, 0.0000, 0.5000), Cu at (0.3333, 0.6667, 0.7268) and Si at (0.3333, 0.6667, 0.2642).

The final energy is -32.18 eV/cell. The total moment is 0.000 μB per atom.